1.
A geometry-optimized MgTcCO2 structure. Source: Alexandria, functional GGA-PBE.

E_tot = -26.189 eV for the cell shown
total magnetization = 2.74 μB per cell
ΔE_f (raw) = 0.982 eV per atom

Cell and atoms, written as CIF:
```
data_MgTcCO2
_cell_length_a 3.4946
_cell_length_b 3.4946
_cell_length_c 6.6366
_cell_angle_alpha 90.00
_cell_angle_beta 90.00
_cell_angle_gamma 90.00
_space_group_name_H-M_alt 'P 4/m m m'
_space_group_IT_number 123
_space_group_name_Hall '-P 4 2'
loop_
_atom_site_label
_atom_site_type_symbol
_atom_site_fract_x
_atom_site_fract_y
_atom_site_fract_z
Mg1 Mg 0.0000 0.0000 0.0000
Tc1 Tc 0.0000 0.0000 0.5000
C1 C 0.5000 0.5000 0.5000
O1 O 0.0000 0.5000 0.0000
```

---

2.
A geometry-optimized MgTe2CO structure. Source: Alexandria, functional GGA-PBE.

E_tot = -17.088 eV for the cell shown
total magnetization = 0.89 μB per cell
ΔE_f (raw) = 0.994 eV per atom

Cell and atoms, written as CIF:
```
data_MgTe2CO
_cell_length_a 4.7405
_cell_length_b 4.7405
_cell_length_c 4.1596
_cell_angle_alpha 90.00
_cell_angle_beta 90.00
_cell_angle_gamma 90.00
_space_group_name_H-M_alt 'P 4/m m m'
_space_group_IT_number 123
_space_group_name_Hall '-P 4 2'
loop_
_atom_site_label
_atom_site_type_symbol
_atom_site_fract_x
_atom_site_fract_y
_atom_site_fract_z
Mg1 Mg 0.0000 0.0000 0.0000
Te1 Te 0.0000 0.5000 0.5000
C1 C 0.5000 0.5000 0.0000
O1 O 0.5000 0.5000 0.5000
```

---

3.
A geometry-optimized Mg6TiCO8 structure. Source: Alexandria, functional GGA-PBE.

E_tot = -98.620 eV for the cell shown
total magnetization = 2.00 μB per cell
distance to the lowest polymorph of the same formula = 0.034 eV/atom
ΔE_f (raw) = -2.017 eV per atom

Cell and atoms, written as CIF:
```
data_Mg6TiCO8
_cell_length_a 4.2545
_cell_length_b 4.2545
_cell_length_c 8.5729
_cell_angle_alpha 90.00
_cell_angle_beta 90.00
_cell_angle_gamma 90.00
_space_group_name_H-M_alt 'P 4/m m m'
_space_group_IT_number 123
_space_group_name_Hall '-P 4 2'
loop_
_atom_site_label
_atom_site_type_symbol
_atom_site_fract_x
_atom_site_fract_y
_atom_site_fract_z
Mg1 Mg 0.0000 0.0000 0.0000
Mg2 Mg 0.0000 0.5000 0.2521
Mg3 Mg 0.5000 0.5000 0.0000
Ti1 Ti 0.0000 0.0000 0.5000
C1 C 0.5000 0.5000 0.5000
O1 O 0.0000 0.0000 0.2519
O2 O 0.0000 0.5000 0.0000
O3 O 0.0000 0.5000 0.5000
O4 O 0.5000 0.5000 0.2425
```

---

4.
A geometry-optimized Mg6TiCO8 structure. Source: Alexandria, functional GGA-PBE.

E_tot = -99.168 eV for the cell shown
total magnetization = 1.26 μB per cell
distance to the lowest polymorph of the same formula = 0.000 eV/atom
ΔE_f (raw) = -2.051 eV per atom

Cell and atoms, written as CIF:
```
data_Mg6TiCO8
_cell_length_a 4.1671
_cell_length_b 4.1671
_cell_length_c 9.1377
_cell_angle_alpha 90.00
_cell_angle_beta 90.00
_cell_angle_gamma 90.00
_space_group_name_H-M_alt 'P 4/m m m'
_space_group_IT_number 123
_space_group_name_Hall '-P 4 2'
loop_
_atom_site_label
_atom_site_type_symbol
_atom_site_fract_x
_atom_site_fract_y
_atom_site_fract_z
Mg1 Mg 0.0000 0.0000 0.0000
Mg2 Mg 0.0000 0.0000 0.5000
Mg3 Mg 0.0000 0.5000 0.2320
Ti1 Ti 0.5000 0.5000 0.5000
C1 C 0.5000 0.5000 0.0000
O1 O 0.0000 0.0000 0.2437
O2 O 0.0000 0.5000 0.0000
O3 O 0.0000 0.5000 0.5000
O4 O 0.5000 0.5000 0.2854
```

---

5.
A geometry-optimized MgTlC2O6 structure. Source: Alexandria, functional GGA-PBE.

E_tot = -202.456 eV for the cell shown
total magnetization = 0.01 μB per cell
ΔE_f (raw) = -1.533 eV per atom

Cell and atoms, written as CIF:
```
data_MgTlC2O6
_cell_length_a 4.9762
_cell_length_b 4.9762
_cell_length_c 16.6775
_cell_angle_alpha 90.00
_cell_angle_beta 90.00
_cell_angle_gamma 120.00
_space_group_name_H-M_alt 'R -3'
_space_group_IT_number 148
_space_group_name_Hall '-R 3'
loop_
_atom_site_label
_atom_site_type_symbol
_atom_site_fract_x
_atom_site_fract_y
_atom_site_fract_z
Mg1 Mg 0.0000 0.0000 0.0000
Tl1 Tl 0.0000 0.0000 0.5000
C1 C 0.0000 0.0000 0.2607
O1 O 0.0501 0.6136 0.4069
```